Record 1
# LiCdIO2

A relaxed LiCdIO2 crystal (PBE, the Alexandria database).

Properties
Formation energy from raw total energies   -0.2713 eV/atom
Density of states at the Fermi level   1.20 states/eV/atom
Crystal system   tetragonal
Energy relative to the lowest polymorph listed for this composition   0.00 eV/f.u.
M_tot   1.51 μB/cell

abc: 4.2093 4.2093 6.6048
angles: 90.00 90.00 90.00
Closest atoms and distances in Å follow each position.
Space group P4/mmm (No. 123)
One atom of each set of equivalent atoms:
Li 0.0000 0.0000 0.0000 [1 per cell]  4 I 2.98
Cd 0.5000 0.5000 0.5000 [1 per cell]  4 O 2.10
I 0.5000 0.5000 0.0000 [1 per cell]  4 Li 2.98, 2 Cd 3.30
O 0.0000 0.5000 0.5000 [2 per cell]  2 Cd 2.10

Record 2
# LiCdI2O

A relaxed LiCdI2O crystal (PBE, the Alexandria database).

Properties
Formation energy from raw total energies   -0.3917 eV/atom
Density of states at the Fermi level   1.87 states/eV/atom
Crystal system   tetragonal
Energy relative to the lowest polymorph listed for this composition   0.00 eV/f.u.
M_tot   1.00 μB/cell

abc: 6.0300 6.0300 4.2039
angles: 90.00 90.00 90.00
Closest atoms and distances in Å follow each position.
Space group P4/mmm (No. 123)
One atom of each set of equivalent atoms:
Li 0.0000 0.0000 0.0000 [1 per cell]  8 I 3.68
Cd 0.5000 0.5000 0.5000 [1 per cell]  2 O 2.10
I 0.0000 0.5000 0.5000 [2 per cell]  2 Cd 3.01
O 0.5000 0.5000 0.0000 [1 per cell]  2 Cd 2.10

Record 3
# LiCd2IO6

A relaxed LiCd2IO6 crystal (PBE, the Alexandria database).

Properties
Formation energy from raw total energies   -0.9274 eV/atom
Crystal system   trigonal
M_tot   0.00 μB/cell

abc: 5.5551 5.5551 13.7410
angles: 90.00 90.00 120.00
Closest atoms and distances in Å follow each position.
Space group R3 (No. 146, hexagonal axes)
One atom of each set of equivalent atoms:
Li 0.0000 0.0000 0.0000 [3 per cell]  6 O 2.18-2.19
Cd 0.0000 0.0000 0.2599 [3 per cell]  3 O 2.23
Cd 0.0000 0.0000 0.7409 [3 per cell]  3 O 2.23
I 0.0000 0.0000 0.4995 [3 per cell]  6 O 1.91
O 0.0317 0.4148 0.2469 [9 per cell]  1 I 1.91
O 0.0817 0.7160 0.0849 [9 per cell]  1 I 1.91

Record 4
# LiCdIO2

A relaxed LiCdIO2 crystal (PBE, the Alexandria database).

Properties
Formation energy from raw total energies   0.1001 eV/atom
Density of states at the Fermi level   1.32 states/eV/atom
Crystal system   tetragonal
Energy relative to the lowest polymorph listed for this composition   1.86 eV/f.u.
M_tot   0.53 μB/cell

abc: 4.0958 4.0958 5.2546
angles: 90.00 90.00 90.00
Closest atoms and distances in Å follow each position.
Space group P4/mmm (No. 123)
One atom of each set of equivalent atoms:
Li 0.0000 0.0000 0.0000 [1 per cell]  4 O 2.05
Cd 0.5000 0.5000 0.5000 [1 per cell]  4 I 2.90
I 0.0000 0.0000 0.5000 [1 per cell]  2 Li 2.63, 4 Cd 2.90
O 0.0000 0.5000 0.0000 [2 per cell]  2 Li 2.05

Record 5
# LiCdI2O

A relaxed LiCdI2O crystal (PBE, the Alexandria database).

Properties
Formation energy from raw total energies   -0.2365 eV/atom
Density of states at the Fermi level   0.60 states/eV/atom
Crystal system   tetragonal
Energy relative to the lowest polymorph listed for this composition   0.78 eV/f.u.
M_tot   1.41 μB/cell

abc: 5.6002 5.6002 3.8787
angles: 90.00 90.00 90.00
Closest atoms and distances in Å follow each position.
Space group P4/mmm (No. 123)
One atom of each set of equivalent atoms:
Li 0.0000 0.0000 0.0000 [1 per cell]  2 O 1.94
Cd 0.5000 0.5000 0.5000 [1 per cell]  8 I 3.41
I 0.0000 0.5000 0.0000 [2 per cell]  2 Li 2.80
O 0.0000 0.0000 0.5000 [1 per cell]  2 Li 1.94

Record 6
# LiPaCdI6

A relaxed LiPaCdI6 crystal (PBE, the Alexandria database).

Properties
Formation energy from raw total energies   -0.8245 eV/atom
Density of states at the Fermi level   0.20 states/eV/atom
Crystal system   trigonal
M_tot   0.17 μB/cell

abc: 7.6149 7.6149 16.8149
angles: 90.00 90.00 120.00
Closest atoms and distances in Å follow each position.
Space group P-31c (No. 163)
One atom of each set of equivalent atoms:
Li 0.3333 0.6667 0.2500 [2 per cell]  6 I 3.04
Pa 0.3333 0.6667 0.7500 [2 per cell]  6 I 2.97
Cd 0.0000 0.0000 0.0000 [2 per cell]  6 I 3.67
I 0.0064 0.3589 0.6472 [12 per cell]  1 Pa 2.97, 1 Li 3.04

Record 7
# Rb2LiCdI5

A relaxed Rb2LiCdI5 crystal (PBE, the Alexandria database).

Properties
Formation energy from raw total energies   -1.1168 eV/atom
Density of states at the Fermi level   0.00 states/eV/atom
Crystal system   orthorhombic
M_tot   0.00 μB/cell

abc: 4.7203 21.6545 14.9869
angles: 90.00 90.00 90.00
Closest atoms and distances in Å follow each position.
Space group Cmc2_1 (No. 36)
One atom of each set of equivalent atoms:
Rb 0.0000 0.1169 0.0000 [4 per cell]  7 I 3.67-4.05
Rb 0.0000 0.1255 0.6182 [4 per cell]  7 I 3.68-3.92
Li 0.0000 0.4245 0.7415 [4 per cell]  4 I 2.71-2.81
Cd 0.0000 0.2109 0.3290 [4 per cell]  6 I 2.90-3.21
I 0.0000 0.0740 0.3407 [4 per cell]  2 Li 2.79, 1 Cd 2.97
I 0.0000 0.2868 0.9648 [4 per cell]  2 Cd 3.12
I 0.0000 0.3008 0.6844 [4 per cell]  1 Li 2.81
I 0.0000 0.3442 0.3118 [4 per cell]  1 Cd 2.90
I 0.0000 0.4961 0.5930 [4 per cell]  1 Li 2.71

Record 8
# RbLiCdI2

A relaxed RbLiCdI2 crystal (PBE, the Alexandria database).

Properties
Formation energy from raw total energies   -0.5543 eV/atom
Density of states at the Fermi level   0.19 states/eV/atom
Crystal system   tetragonal
M_tot   0.00 μB/cell

abc: 6.5962 6.5962 5.1835
angles: 90.00 90.00 90.00
Closest atoms and distances in Å follow each position.
Space group P4/mmm (No. 123)
One atom of each set of equivalent atoms:
Rb 0.0000 0.0000 0.0000 [1 per cell]  8 I 4.19, 4 Li 4.66
Li 0.5000 0.5000 0.0000 [1 per cell]  2 Cd 2.59
Cd 0.5000 0.5000 0.5000 [1 per cell]  2 Li 2.59
I 0.0000 0.5000 0.5000 [2 per cell]  2 Cd 3.30

Record 9
# RbLiCd2I6

A relaxed RbLiCd2I6 crystal (PBE, the Alexandria database).

Properties
Formation energy from raw total energies   -0.8762 eV/atom
Density of states at the Fermi level   0.00 states/eV/atom
Crystal system   monoclinic
M_tot   0.00 μB/cell

abc: 15.7601 15.2700 8.6875
angles: 90.00 111.17 90.00
Closest atoms and distances in Å follow each position.
Space group C2/c (No. 15)
One atom of each set of equivalent atoms:
Rb 0.0000 0.1318 0.2500 [4 per cell]  6 I 3.64-3.78
Li 0.0000 0.2052 0.7500 [4 per cell]  4 I 2.77-2.88
Cd 0.1927 0.4262 0.1882 [8 per cell]  4 I 2.82-2.90
I 0.1144 0.0747 0.6836 [8 per cell]  1 Cd 2.83, 1 Li 2.88
I 0.1235 0.2624 0.0500 [8 per cell]  1 Li 2.77, 1 Cd 2.82
I 0.1317 0.4314 0.4652 [8 per cell]  2 Cd 2.84-2.90

Record 10
# LiCdRe2I

A relaxed LiCdRe2I crystal (PBE, the Alexandria database).

Properties
Formation energy from raw total energies   2.0632 eV/atom
Density of states at the Fermi level   0.52 states/eV/atom
Crystal system   tetragonal
M_tot   7.76 μB/cell

abc: 5.2047 5.2047 5.1852
angles: 90.00 90.00 90.00
Closest atoms and distances in Å follow each position.
Space group P4/mmm (No. 123)
One atom of each set of equivalent atoms:
Li 0.0000 0.0000 0.0000 [1 per cell]  2 Cd 2.59
Cd 0.0000 0.0000 0.5000 [1 per cell]  2 Li 2.59, 4 Re 2.60
Re 0.0000 0.5000 0.5000 [2 per cell]  2 Cd 2.60
I 0.5000 0.5000 0.0000 [1 per cell]  8 Re 3.67, 4 Li 3.68

Record 11
# LiCdSbI2

A relaxed LiCdSbI2 crystal (PBE, the Alexandria database).

Properties
Formation energy from raw total energies   0.0032 eV/atom
Density of states at the Fermi level   0.43 states/eV/atom
Crystal system   tetragonal
Energy relative to the lowest polymorph listed for this composition   0.00 eV/f.u.
M_tot   1.88 μB/cell

abc: 6.1931 6.1931 5.5860
angles: 90.00 90.00 90.00
Closest atoms and distances in Å follow each position.
Space group P4/mmm (No. 123)
One atom of each set of equivalent atoms:
Li 0.0000 0.0000 0.0000 [1 per cell]  8 I 4.17, 4 Sb 4.38
Cd 0.5000 0.5000 0.5000 [1 per cell]  2 Sb 2.79, 4 I 3.10
Sb 0.5000 0.5000 0.0000 [1 per cell]  2 Cd 2.79
I 0.0000 0.5000 0.5000 [2 per cell]  2 Cd 3.10